Entry 1:
## SiSb2Mo (SCAN)

Data for a crystal of SiSb2Mo relaxed with PBEsol.

Crystal system   monoclinic
Energy   -29.685 eV per atom

The structure in CIF format:
```
data_SiSb2Mo
_chemical_formula_sum 'Si2 Sb4 Mo2'
_cell_length_a 8.422
_cell_length_b 3.374
_cell_length_c 6.154
_cell_angle_alpha 90.00
_cell_angle_beta 100.10
_cell_angle_gamma 90.00
_symmetry_space_group_name_H-M 'C 1 m 1'
_symmetry_Int_Tables_number 8
_symmetry_space_group_name_Hall 'C -2y'
loop_
_atom_site_label
_atom_site_type_symbol
_atom_site_fract_x
_atom_site_fract_y
_atom_site_fract_z
_atom_site_occupancy
Si1 Si 0.000 0.000 0.000 1
Sb1 Sb 0.053 0.500 0.659 1
Sb2 Sb 0.278 0.500 0.284 1
Mo1 Mo 0.280 0.000 0.933 1
```

Entry 2:
## TaSiSb2Te (SCAN)

Data for a crystal of TaSiSb2Te relaxed with PBEsol.

Crystal system   tetragonal
Energy   -36.761 eV per atom

The structure in CIF format:
```
data_TaSiSb2Te
_chemical_formula_sum 'Ta1 Si1 Sb2 Te1'
_cell_length_a 5.317
_cell_length_b 5.317
_cell_length_c 5.228
_cell_angle_alpha 90.00
_cell_angle_beta 90.00
_cell_angle_gamma 90.00
_symmetry_space_group_name_H-M 'P 4/m m m'
_symmetry_Int_Tables_number 123
_symmetry_space_group_name_Hall '-P 4 2'
loop_
_atom_site_label
_atom_site_type_symbol
_atom_site_fract_x
_atom_site_fract_y
_atom_site_fract_z
_atom_site_occupancy
Ta1 Ta 0.000 0.000 0.000 1
Si1 Si 0.500 0.500 0.500 1
Sb1 Sb 0.000 0.500 0.000 1
Te1 Te 0.000 0.000 0.500 1
```